# SrLi2SiO4

A crystal of SrLi2SiO4 relaxed with PBEsol (SCAN, Alexandria via LeMat-Bulk). Values from VASP.

total magnetization: 0.00 Bohr magnetons per cell
DFT total energy: -256.29 eV for the cell shown
formation energy (no corrections): -283 kJ per mole of atoms

```
&SYSTEM
  ibrav = 0, nat = 24, ntyp = 4
/
ATOMIC_SPECIES
Sr 87.62 Sr.upf
Li 6.94 Li.upf
Si 28.09 Si.upf
O 16.00 O.upf
ATOMIC_POSITIONS crystal
Sr 0.0000 0.4187 0.1667
Sr 0.4187 0.0000 0.8333
Sr 0.5813 0.5813 0.5000
Li 0.0731 0.4090 0.9212
Li 0.3359 0.9269 0.5879
Li 0.4090 0.0731 0.0788
Li 0.5910 0.6641 0.2546
Li 0.6641 0.5910 0.7454
Li 0.9269 0.3359 0.4121
Si 0.0000 0.2778 0.6667
Si 0.2778 0.0000 0.3333
Si 0.7222 0.7222 0.0000
O 0.0350 0.4871 0.5594
O 0.0702 0.7611 0.9963
O 0.2389 0.3090 0.3296
O 0.3090 0.2389 0.6704
O 0.4521 0.9650 0.2260
O 0.4871 0.0350 0.4406
O 0.5129 0.5479 0.8927
O 0.5479 0.5129 0.1073
O 0.6910 0.9298 0.6629
O 0.7611 0.0702 0.0037
O 0.9298 0.6910 0.3371
O 0.9650 0.4521 0.7740
CELL_PARAMETERS angstrom
5.0066 0.0000 0.0000
-2.5033 4.3359 0.0000
0.0000 0.0000 12.4068
```


# MgTeAs2

A crystal of MgTeAs2 relaxed with PBEsol (SCAN, Alexandria via LeMat-Bulk). Values from VASP.

total magnetization: 0.00 Bohr magnetons per cell
DFT total energy: -82.35 eV for the cell shown
formation energy (no corrections): 6 kJ per mole of atoms

```
&SYSTEM
  ibrav = 0, nat = 4, ntyp = 3
/
ATOMIC_SPECIES
Mg 24.30 Mg.upf
Te 127.60 Te.upf
As 74.92 As.upf
ATOMIC_POSITIONS crystal
Mg 0.0000 0.0000 0.0000
Te 0.0000 0.0000 0.5000
As 0.5000 0.5000 0.2063
As 0.5000 0.5000 0.7937
CELL_PARAMETERS angstrom
3.8457 0.0000 0.0000
0.0000 3.8457 0.0000
0.0000 0.0000 5.9205
```


# Y2NiAs

A crystal of Y2NiAs relaxed with PBEsol (SCAN, Alexandria via LeMat-Bulk). Values from VASP.

total magnetization: 0.30 Bohr magnetons per cell
DFT total energy: -286.38 eV for the cell shown

```
&SYSTEM
  ibrav = 0, nat = 12, ntyp = 3
/
ATOMIC_SPECIES
Y 88.91 Y.upf
Ni 58.69 Ni.upf
As 74.92 As.upf
ATOMIC_POSITIONS crystal
Y 0.0000 0.0000 0.0000
Y 0.0000 0.0000 0.1847
Y 0.3333 0.6667 0.6667
Y 0.3333 0.6667 0.8514
Y 0.6667 0.3333 0.3333
Y 0.6667 0.3333 0.5181
Ni 0.0000 0.0000 0.4138
Ni 0.3333 0.6667 0.0805
Ni 0.6667 0.3333 0.7472
As 0.0000 0.0000 0.7646
As 0.3333 0.6667 0.4312
As 0.6667 0.3333 0.0979
CELL_PARAMETERS angstrom
3.9668 0.0000 0.0000
-1.9834 3.4354 0.0000
0.0000 0.0000 20.0917
```


# BaSrFe2O6

A crystal of BaSrFe2O6 relaxed with PBEsol (SCAN, Alexandria via LeMat-Bulk). Values from VASP.

total magnetization: 7.83 Bohr magnetons per cell
DFT total energy: -157.97 eV for the cell shown
formation energy (no corrections): -217 kJ per mole of atoms

```
&SYSTEM
  ibrav = 0, nat = 10, ntyp = 4
/
ATOMIC_SPECIES
Ba 137.33 Ba.upf
Sr 87.62 Sr.upf
Fe 55.84 Fe.upf
O 16.00 O.upf
ATOMIC_POSITIONS crystal
Ba 0.0000 0.0000 0.0000
Sr 0.0000 0.0000 0.5000
Fe 0.5000 0.5000 0.2554
Fe 0.5000 0.5000 0.7446
O 0.0000 0.5000 0.2597
O 0.0000 0.5000 0.7403
O 0.5000 0.0000 0.2597
O 0.5000 0.0000 0.7403
O 0.5000 0.5000 0.0000
O 0.5000 0.5000 0.5000
CELL_PARAMETERS angstrom
3.8476 0.0000 0.0000
0.0000 3.8476 0.0000
0.0000 0.0000 7.7024
```


# Ca2TaTl

A crystal of Ca2TaTl relaxed with PBEsol (SCAN, Alexandria via LeMat-Bulk). Values from VASP.

total magnetization: 0.00 Bohr magnetons per cell
DFT total energy: -312.28 eV for the cell shown

```
&SYSTEM
  ibrav = 0, nat = 8, ntyp = 3
/
ATOMIC_SPECIES
Ca 40.08 Ca.upf
Ta 180.95 Ta.upf
Tl 204.38 Tl.upf
ATOMIC_POSITIONS crystal
Ca 0.0000 0.0000 0.2462
Ca 0.0000 0.0000 0.7538
Ca 0.5000 0.5000 0.2538
Ca 0.5000 0.5000 0.7462
Ta 0.0000 0.5000 0.0000
Ta 0.5000 0.0000 0.5000
Tl 0.0000 0.5000 0.5000
Tl 0.5000 0.0000 0.0000
CELL_PARAMETERS angstrom
3.4300 0.0000 0.0000
0.0000 5.2569 0.0000
0.0000 0.0000 10.7533
```


# CoAuSe

A crystal of CoAuSe relaxed with PBEsol (SCAN, Alexandria via LeMat-Bulk). Values from VASP.

total magnetization: 9.44 Bohr magnetons per cell
DFT total energy: -420.19 eV for the cell shown
formation energy (no corrections): 48 kJ per mole of atoms

```
&SYSTEM
  ibrav = 0, nat = 12, ntyp = 3
/
ATOMIC_SPECIES
Co 58.93 Co.upf
Au 196.97 Au.upf
Se 78.96 Se.upf
ATOMIC_POSITIONS crystal
Co 0.0000 0.0000 0.0000
Co 0.0000 0.5000 0.5000
Co 0.5000 0.0000 0.5000
Co 0.5000 0.5000 0.0000
Au 0.2500 0.2500 0.2500
Au 0.2500 0.7500 0.7500
Au 0.7500 0.2500 0.7500
Au 0.7500 0.7500 0.2500
Se 0.0000 0.0000 0.5000
Se 0.0000 0.5000 0.0000
Se 0.5000 0.0000 0.0000
Se 0.5000 0.5000 0.5000
CELL_PARAMETERS angstrom
6.0576 0.0000 0.0000
0.0000 6.0576 0.0000
0.0000 0.0000 6.0576
```